Entry 1:
Entry from Alexandria via LeMat-Bulk: Dy2Tm7Th2 after structural relaxation (PBE).

* DFT total energy: -4.85 eV/atom
* ΔH_f (0 K): 186.1 meV/atom

The structure in POSCAR format:
```
Dy2Tm7Th2
1.0
-8.2283 1.8336 1.1616
2.2819 -4.0658 3.6901
2.6090 2.9230 7.5541
Tm Th Dy
7 2 2
Cartesian
2.4354 -2.0347 6.1667
-2.9522 0.7346 5.1630
-0.5605 0.5013 10.8135
-2.7769 0.1896 1.5923
0.0000 0.0000 0.0000
-0.3851 -0.0438 7.2428
-5.7728 2.7255 6.2391
-3.2869 1.7152 8.7129
-0.0504 -1.0244 3.6930
2.0677 -0.9432 9.3151
-5.4051 1.6340 3.0907
```



Entry 2:
Entry from Alexandria via LeMat-Bulk: Sb2PbCl8 after structural relaxation (PBE).

* DFT total energy: -3.30 eV/atom

The structure in POSCAR format:
```
Sb2PbCl8
1.0
6.8625 -0.1371 -0.8553
-0.8855 7.5337 0.4352
-0.1336 0.6935 7.5651
Cl Pb Sb
8 1 2
Cartesian
4.7182 4.5097 3.8288
1.1252 3.5804 3.3162
4.9718 0.3508 4.2473
1.3559 3.3335 7.4901
0.8715 7.7392 2.8978
1.0890 7.0389 6.6381
4.4875 4.7566 -0.3451
4.7544 1.0511 0.5070
0.0000 0.0000 0.0000
3.0046 5.7143 5.1653
2.8387 2.3757 1.9798
```



Entry 3:
Entry from Alexandria via LeMat-Bulk: CeMn3H6 after structural relaxation (PBE).

* DFT total energy: -5.47 eV/atom

The structure in POSCAR format:
```
CeMn3H6
1.0
4.2530 0.0007 -2.2630
-2.7655 3.9998 -0.0550
-0.1154 -0.1460 4.8579
Mn H Ce
3 6 1
Cartesian
-0.6543 2.4678 3.9176
0.8088 0.5109 1.4815
2.1704 1.4987 -0.8643
2.2774 1.4384 1.0632
0.4389 1.5721 2.8500
-1.2570 3.7629 2.8745
3.3653 -0.0160 -0.7495
0.4162 1.5206 0.0818
-1.4869 3.0532 0.5079
0.7818 3.4638 1.5370
```



Which value of DFT total energy does entry 1 give? -4.85 eV/atom